[1]
AlCdTc2: relaxed, PBE-GGA.

Results
raw total energy = -24.76 eV/cell
relative energy among the computed polymorphs = 205.7 meV per atom
SG = Cmmm, No. 65
E_form = 157 meV/atom
size of the total moment = 0.00 Bohr magnetons per cell

```
AlCdTc2
1.0
1.5880 -2.2312 0.0000
1.5880 2.2312 0.0000
0.0000 0.0000 8.9423
Al Cd Tc
1 1 2
direct
0.0000 0.0000 0.0000
0.0000 0.0000 0.5000
0.5000 0.5000 0.2294
0.5000 0.5000 0.7706
```


[2]
AlCd4Tc: relaxed, PBE-GGA.

Results
raw total energy = -14.22 eV/cell
SG = F-43m, No. 216
E_form = 591 meV/atom
size of the total moment = 1.85 Bohr magnetons per cell

```
AlCd4Tc
1.0
0.0000 3.9321 3.9321
3.9321 0.0000 3.9321
3.9321 3.9321 0.0000
Al Cd Tc
1 4 1
direct
0.0000 0.0000 0.0000
0.1263 0.6246 0.6246
0.6246 0.1263 0.6246
0.6246 0.6246 0.1263
0.6246 0.6246 0.6246
0.2500 0.2500 0.2500
```


[3]
Al2CdTc: relaxed, PBE-GGA.

Results
raw total energy = -18.86 eV/cell
SG = P4/mmm, No. 123
E_form = -24 meV/atom
size of the total moment = 0.00 Bohr magnetons per cell

```
Al2CdTc
1.0
4.3088 0.0000 0.0000
0.0000 4.3088 0.0000
0.0000 0.0000 3.4000
Al Cd Tc
2 1 1
direct
0.0000 0.5000 0.0000
0.5000 0.0000 0.0000
0.0000 0.0000 0.5000
0.5000 0.5000 0.5000
```


[4]
AlCdTc2: relaxed, PBE-GGA.

Results
raw total energy = -45.76 eV/cell
relative energy among the computed polymorphs = 675.5 meV per atom
SG = I-42d, No. 122
E_form = 627 meV/atom
size of the total moment = 0.00 Bohr magnetons per cell

```
AlCdTc2
1.0
-3.6104 3.6104 2.6181
3.6104 -3.6104 2.6181
3.6104 3.6104 -2.6181
Al Cd Tc
2 2 4
direct
0.0000 0.0000 0.0000
0.7500 0.2500 0.5000
0.2500 0.7500 0.5000
0.5000 0.5000 0.0000
0.0944 0.6250 0.9694
0.3750 0.3444 0.4694
0.6556 0.1250 0.0306
0.8750 0.9056 0.5306
```